1.
Here is a relaxed SrBeRe2 crystal from Alexandria via LeMat-Bulk. Energies are from PBE.

Lattice parameters (Å, degrees): 8.0927 3.3279 6.3042 90.00 103.00 90.00
Space group Cm (No. 8)
Unique sites:
Sr 0.0000 0.0000 0.0000 (multiplicity 2)
Be 0.2401 0.0000 0.6382 (multiplicity 2)
Re 0.0164 0.5000 0.5196 (multiplicity 2)
Re 0.2864 0.5000 0.3875 (multiplicity 2)

Results
Energy relative to the elements in eV/atom: 0.488

---

2.
Here is a relaxed Ce2NdCrN5 crystal from Alexandria via LeMat-Bulk. Energies are from PBE.

Lattice parameters (Å, degrees): 3.3815 16.6457 9.3647 90.00 90.00 90.00
Space group Cmc2_1 (No. 36)
Unique sites:
Ce 0.0000 0.0957 0.0000 (multiplicity 4)
Ce 0.0000 0.1051 0.6277 (multiplicity 4)
Nd 0.0000 0.2185 0.3296 (multiplicity 4)
Cr 0.0000 0.4484 0.7782 (multiplicity 4)
N 0.0000 0.0350 0.3551 (multiplicity 4)
N 0.0000 0.3194 0.0146 (multiplicity 4)
N 0.0000 0.3520 0.6852 (multiplicity 4)
N 0.0000 0.3638 0.3414 (multiplicity 4)
N 0.0000 0.4977 0.1103 (multiplicity 4)

Results
Energy relative to the elements, uncorrected in eV per atom: -1.070

---

3.
Here is a relaxed LaCuOs2 crystal from Alexandria via LeMat-Bulk. Energies are from PBE.

Lattice parameters (Å, degrees): 5.4046 8.6277 3.0811 90.00 90.00 90.00
Space group Cmmm (No. 65)
Unique sites:
La 0.0000 0.0000 0.0000 (multiplicity 2)
Cu 0.0000 0.5000 0.0000 (multiplicity 2)
Os 0.2500 0.2500 0.5000 (multiplicity 4)

Results
E above lowest polymorph in meV/atom: 508.1
Energy relative to the elements in eV/atom: 0.765

---

4.
Here is a relaxed KCaW crystal from Alexandria via LeMat-Bulk. Energies are from PBE.

Lattice parameters (Å, degrees): 2.8873 4.9861 12.4791 90.00 90.00 90.00
Space group Imm2 (No. 44)
Unique sites:
K 0.0000 0.0000 0.0000 (multiplicity 2)
Ca 0.0000 0.0000 0.2867 (multiplicity 2)
W 0.0000 0.0000 0.6853 (multiplicity 2)

Results
E above lowest polymorph in meV/atom: 278.5
Energy relative to the elements in eV/atom: 1.446

---

5.
Here is a relaxed BeNbTl3 crystal from Alexandria via LeMat-Bulk. Energies are from PBE.

Lattice parameters (Å, degrees): 4.9260 4.9260 4.9260 90.00 90.00 90.00
Space group Pm-3m (No. 221)
Unique sites:
Be 0.0000 0.0000 0.0000 (multiplicity 1)
Nb 0.5000 0.5000 0.5000 (multiplicity 1)
Tl 0.0000 0.0000 0.5000 (multiplicity 3)

Results
E above lowest polymorph in meV/atom: 0.0
Energy relative to the elements in eV/atom: 0.989

---

6.
Here is a relaxed Sn2Pb5Au5 crystal from Alexandria via LeMat-Bulk. Energies are from PBE.

Lattice parameters (Å, degrees): 13.6166 4.2581 11.6515 90.00 105.49 90.00
Space group C2/m (No. 12)
Unique sites:
Sn 0.0550 0.0000 0.2901 (multiplicity 4)
Pb 0.0000 0.5000 0.0000 (multiplicity 2)
Pb 0.1623 0.5000 0.5489 (multiplicity 4)
Pb 0.2495 0.5000 0.8611 (multiplicity 4)
Au 0.0000 0.0000 0.5000 (multiplicity 2)
Au 0.1107 0.0000 0.9027 (multiplicity 4)
Au 0.1862 0.5000 0.2895 (multiplicity 4)

Results
Energy relative to the elements in eV/atom: -0.071

---

7.
Here is a relaxed K2AsPt crystal from Alexandria via LeMat-Bulk. Energies are from PBE.

Lattice parameters (Å, degrees): 4.2599 4.2599 10.3012 90.00 90.00 90.00
Space group I4/mmm (No. 139)
Unique sites:
K 0.0000 0.5000 0.2500 (multiplicity 4)
As 0.0000 0.0000 0.0000 (multiplicity 2)
Pt 0.0000 0.0000 0.5000 (multiplicity 2)

Results
Energy relative to the elements in eV/atom: 0.040

---

8.
Here is a relaxed Ce5Ga2Si crystal from Alexandria via LeMat-Bulk. Energies are from PBE.

Lattice parameters (Å, degrees): 8.0404 8.0404 12.2370 90.00 90.00 90.00
Space group I4/mcm (No. 140)
Unique sites:
Ce 0.0000 0.0000 0.0000 (multiplicity 4)
Ce 0.1743 0.3257 0.1618 (multiplicity 16)
Ga 0.1218 0.3782 0.5000 (multiplicity 8)
Si 0.0000 0.0000 0.2500 (multiplicity 4)

Results
Energy relative to the elements, uncorrected in eV per atom: -0.433

---

9.
Here is a relaxed NaSmB12 crystal from Alexandria via LeMat-Bulk. Energies are from PBE.

Lattice parameters (Å, degrees): 8.2836 8.2836 8.2836 90.00 90.00 90.00
Space group Fm-3m (No. 225)
Unique sites:
Na 0.0000 0.0000 0.0000 (multiplicity 4)
Sm 0.0000 0.0000 0.5000 (multiplicity 4)
B 0.1006 0.2500 0.2500 (multiplicity 48)

Results
Energy relative to the elements in eV/atom: -0.313

---

10.
Here is a relaxed GdUIrPd crystal from Alexandria via LeMat-Bulk. Energies are from PBE.

Lattice parameters (Å, degrees): 6.9544 6.9544 6.9544 90.00 90.00 90.00
Space group F-43m (No. 216)
Unique sites:
Gd 0.0000 0.0000 0.0000 (multiplicity 4)
U 0.0000 0.0000 0.5000 (multiplicity 4)
Ir 0.2500 0.2500 0.2500 (multiplicity 4)
Pd 0.2500 0.2500 0.7500 (multiplicity 4)

Results
Energy relative to the elements in eV/atom: -0.463

---

11.
Here is a relaxed SmFeTe crystal from Alexandria via LeMat-Bulk. Energies are from PBE.

Lattice parameters (Å, degrees): 3.8708 3.8708 36.6834 90.00 90.00 120.00
Space group R-3m (No. 166, hexagonal axes)
Unique sites:
Sm 0.0000 0.0000 0.0578 (multiplicity 6)
Fe 0.0000 0.0000 0.3347 (multiplicity 6)
Te 0.0000 0.0000 0.2156 (multiplicity 6)

Results
Energy relative to the elements, uncorrected in eV per atom: -0.336

---

12.
Here is a relaxed LaDy2Al2Ga2 crystal from Alexandria via LeMat-Bulk. Energies are from PBE.

Lattice parameters (Å, degrees): 4.4198 4.4198 30.2886 90.00 90.00 120.00
Space group R-3m (No. 166, hexagonal axes)
Unique sites:
La 0.0000 0.0000 0.0000 (multiplicity 3)
Dy 0.0000 0.0000 0.1302 (multiplicity 6)
Al 0.0000 0.0000 0.4003 (multiplicity 6)
Ga 0.0000 0.0000 0.2520 (multiplicity 6)

Results
Energy relative to the elements in eV/atom: -0.410

---

Calculated volume per entry: 20.7 14.6 18.0 29.9 23.9 27.1 23.4 24.7 10.1 21.0 26.4 24.4 Å³ per atom